Entry 1:
80
Lattice="17.885 0.000 0.000 -5.962 16.862 0.000 -5.962 -8.431 14.603" Properties=species:S:1:pos:R:3 comment="Cs12Au5S3, relaxed, DFT PBE" total_energy_ev_per_atom=-2.455 spacegroup="Ia-3d (230)" m_tot_mub_per_cell=0.000 e_form_raw_ev_per_fu=-10.094 pbc="T T T"
S 10.433 5.269 1.825
S 10.433 11.593 1.825
S -1.490 7.377 9.127
S 1.490 -1.054 5.476
S 13.414 0.000 3.651
S 1.490 8.431 3.651
S 4.471 0.000 10.952
S -7.452 8.431 10.952
S 4.471 9.485 9.127
S 7.452 1.054 5.476
S -4.471 -3.162 12.778
S -4.471 3.162 12.778
Au -1.490 4.216 3.651
Au -2.981 8.431 0.000
Au 0.000 0.000 0.000
Au 4.471 3.162 1.825
Au 5.962 -4.216 7.302
Au 5.962 8.431 0.000
Au -4.471 9.485 5.476
Au 7.452 -5.269 12.778
Au 7.452 7.377 5.476
Au 1.490 -4.216 10.952
Au 4.471 12.647 3.651
Au 2.981 4.216 7.302
Au 8.942 0.000 0.000
Au -2.981 -4.216 7.302
Au -1.490 1.054 9.127
Au -1.490 13.700 1.825
Au -5.962 4.216 7.302
Au 10.433 -1.054 9.127
Au 1.490 5.269 12.778
Au 7.452 4.216 10.952
Cs 11.908 1.811 0.883
Cs 0.015 5.885 6.175
Cs 13.045 3.850 3.916
Cs 7.821 2.749 2.009
Cs 2.262 6.680 9.804
Cs 12.341 8.287 2.503
Cs -1.121 9.532 5.925
Cs -4.840 14.113 2.009
Cs 0.718 10.182 9.804
Cs 8.524 8.575 2.503
Cs 8.958 4.356 5.292
Cs 8.958 15.052 0.883
Cs -5.243 7.615 8.184
Cs 3.399 6.336 1.376
Cs -5.977 12.506 5.292
Cs 2.996 -2.546 8.428
Cs -0.718 0.935 3.386
Cs 3.399 10.671 1.127
Cs 7.821 13.012 3.916
Cs -0.418 6.191 1.127
Cs -3.699 9.366 11.218
Cs 4.102 7.330 5.925
Cs 8.224 9.247 8.184
Cs 6.380 -2.096 13.227
Cs 1.859 1.101 8.678
Cs -2.262 -0.816 6.419
Cs -0.418 10.527 1.376
Cs -1.859 -4.581 10.687
Cs 9.661 -0.935 3.386
Cs 6.380 2.240 13.476
Cs 2.563 -2.240 13.476
Cs 2.966 10.977 6.175
Cs 6.680 7.496 11.218
Cs 11.938 -4.075 9.311
Cs 11.205 0.816 6.419
Cs -2.996 -6.620 13.720
Cs 2.563 2.096 13.227
Cs 5.243 -1.751 4.799
Cs -2.563 -0.144 12.100
Cs -2.996 4.075 9.311
Cs 10.802 -5.682 12.594
Cs 7.083 -1.101 8.678
Cs -1.859 5.682 12.594
Cs -6.380 0.144 12.100
Cs 3.699 1.751 4.799
Cs -7.083 4.581 10.687
Cs 5.947 2.546 8.428
Cs -5.947 6.620 13.720



Entry 2:
5
Lattice="4.404 0.000 0.000 0.000 4.404 0.000 2.202 2.202 6.772" Properties=species:S:1:pos:R:3 comment="CsAu2S2, relaxed, DFT PBE" total_energy_ev_per_atom=-3.327 spacegroup="I4/mmm (139)" m_tot_mub_per_cell=0.000 e_form_raw_ev_per_fu=-0.974 pbc="T T T"
Cs 0.000 0.000 0.000
S 2.202 2.202 1.989
S 4.404 4.404 4.783
Au 4.404 2.202 3.386
Au 2.202 4.404 3.386



Entry 3:
20
Lattice="5.231 0.000 0.000 0.000 9.224 0.000 0.000 0.000 19.750" Properties=species:S:1:pos:R:3 comment="Cs3AuS, relaxed, DFT PBE" total_energy_ev_per_atom=-2.719 spacegroup="Pnma (62)" m_tot_mub_per_cell=0.214 e_form_raw_ev_per_fu=-3.627 pbc="T T T"
Cs 1.308 3.402 10.854
Cs 3.924 7.762 4.046
Cs 3.924 4.465 17.928
Cs 3.924 9.077 11.696
Cs 3.924 5.823 8.896
Cs 1.308 0.147 8.053
Cs 1.308 8.014 18.770
Cs 3.924 3.150 5.829
Cs 1.308 6.074 13.920
Cs 1.308 1.462 15.704
Cs 3.924 1.210 0.979
Cs 1.308 4.759 1.822
Au 3.924 7.947 15.720
Au 1.308 1.277 4.029
Au 3.924 3.335 13.904
Au 1.308 5.890 5.846
S 1.308 2.434 18.874
S 1.308 7.047 10.750
S 3.924 2.178 8.999
S 3.924 6.790 0.876



Entry 4:
4
Lattice="3.237 -7.663 3.728 3.186 -8.539 -0.178 6.254 -6.488 1.373" Properties=species:S:1:pos:R:3 comment="CsAuS2, relaxed, DFT PBE" total_energy_ev_per_atom=-3.034 spacegroup="R-3m (166)" m_tot_mub_per_cell=0.000 e_form_raw_ev_per_fu=0.251 pbc="T T T"
Cs 0.000 0.000 0.000
S 11.130 -19.923 4.324
S 1.546 -2.767 0.600
Au 6.338 -11.345 2.462



Entry 5:
10
Lattice="-2.308 6.131 5.270 -3.553 -6.277 0.789 6.238 -3.322 1.640" Properties=species:S:1:pos:R:3 comment="CsAu2S2, relaxed, DFT PBE" total_energy_ev_per_atom=-3.569 spacegroup="C2/c (15)" m_tot_mub_per_cell=0.000 e_form_raw_ev_per_fu=-2.180 pbc="T T T"
Cs -2.885 -4.368 2.214
Cs 3.262 0.900 5.484
Au 1.343 -4.800 1.214
Au 3.119 -1.661 0.820
Au 0.189 -1.734 3.849
Au -2.931 -0.073 3.029
S -1.158 -1.162 2.106
S 1.535 -2.307 5.592
S 0.277 -6.100 2.747
S 0.101 2.632 4.951



Entry 6:
6
Lattice="-2.963 -5.555 -0.609 2.989 -4.499 1.951 -2.854 8.657 4.925" Properties=species:S:1:pos:R:3 comment="CsAuS4, relaxed, DFT PBE" total_energy_ev_per_atom=-3.776 spacegroup="P1 (1)" m_tot_mub_per_cell=0.000 e_form_raw_ev_per_fu=-2.013 pbc="T T T"
Cs -3.245 2.001 4.874
Au -0.786 -4.836 3.295
S -0.640 4.050 6.281
S -1.546 0.324 1.224
S -0.037 0.163 4.229
S -0.685 -1.052 2.722



Entry 7:
12
Lattice="8.697 0.000 3.877 2.944 7.243 5.088 1.101 0.853 9.224" Properties=species:S:1:pos:R:3 comment="Cs3AuS2, relaxed, DFT PBE" total_energy_ev_per_atom=-3.233 spacegroup="Ibam (72)" m_tot_mub_per_cell=0.000 e_form_raw_ev_per_fu=-5.308 pbc="T T T"
Cs 8.545 4.048 10.064
Cs 4.197 4.048 8.125
Cs 11.551 6.385 15.015
Cs 5.540 1.711 5.113
Cs 1.191 1.711 3.174
Cs 7.202 6.385 13.076
Au 4.348 0.000 1.939
Au 0.000 0.000 0.000
S 7.354 4.879 6.890
S 10.713 6.601 11.048
S 2.029 1.495 7.141
S 5.388 3.218 11.300



Entry 8:
5
Lattice="5.039 0.000 0.000 0.000 5.039 0.000 2.520 2.520 6.099" Properties=species:S:1:pos:R:3 comment="CsAu2S2, relaxed, DFT PBE" total_energy_ev_per_atom=-3.420 spacegroup="I4/mmm (139)" m_tot_mub_per_cell=0.000 e_form_raw_ev_per_fu=-1.439 pbc="T T T"
Cs 0.000 0.000 0.000
S 5.039 2.520 3.049
S 2.520 5.039 3.049
Au 2.520 2.520 2.665
Au 5.039 5.039 3.434



Entry 9:
5
Lattice="6.680 0.000 0.000 0.000 6.680 0.000 0.000 0.000 6.680" Properties=species:S:1:pos:R:3 comment="Cs3AuS, relaxed, DFT PBE" total_energy_ev_per_atom=-2.612 spacegroup="Pm-3m (221)" m_tot_mub_per_cell=0.000 e_form_raw_ev_per_fu=-3.097 pbc="T T T"
Cs 0.000 3.340 0.000
Cs 0.000 0.000 3.340
Cs 3.340 0.000 0.000
Au 3.340 3.340 3.340
S 0.000 0.000 0.000



Entry 10:
4
Lattice="0.000 3.718 3.718 3.718 0.000 3.718 3.718 3.718 0.000" Properties=species:S:1:pos:R:3 comment="CsAuS2, relaxed, DFT PBE" total_energy_ev_per_atom=-2.640 spacegroup="Fm-3m (225)" m_tot_mub_per_cell=2.000 e_form_raw_ev_per_fu=1.827 pbc="T T T"
Cs 0.000 0.000 0.000
S 1.859 1.859 1.859
S 5.577 5.577 5.577
Au 3.718 3.718 3.718



Entry 11:
6
Lattice="-3.044 -0.071 4.668 1.355 -5.389 -0.431 5.834 1.161 3.822" Properties=species:S:1:pos:R:3 comment="CsAuS, relaxed, DFT PBE" total_energy_ev_per_atom=-3.542 spacegroup="Cmcm (63)" m_tot_mub_per_cell=0.000 e_form_raw_ev_per_fu=-2.369 pbc="T T T"
Cs 0.054 -1.764 3.723
Cs 4.091 -2.536 4.336
S 2.029 -4.150 1.434
S 2.116 -0.149 6.625
Au 0.000 0.000 0.000
Au 2.917 0.580 1.911



Entry 12:
5
Lattice="-3.124 -4.970 4.453 0.295 -3.473 -3.670 6.659 -2.006 2.433" Properties=species:S:1:pos:R:3 comment="Cs2SbAuS, relaxed, DFT PBE" total_energy_ev_per_atom=-2.791 spacegroup="P4/mmm (123)" m_tot_mub_per_cell=0.000 e_form_raw_ev_per_fu=-0.721 pbc="T T T"
Cs 3.330 -1.003 1.217
Cs -1.562 -2.485 2.226
Sb 0.000 0.000 0.000
S 0.147 -1.736 -1.835
Au 1.915 -5.224 1.608



Entry 13:
5
Lattice="5.203 0.000 0.000 0.000 5.961 0.000 0.000 0.000 5.203" Properties=species:S:1:pos:R:3 comment="CsSc2AuS, relaxed, DFT PBE" total_energy_ev_per_atom=-4.015 spacegroup="P4/mmm (123)" m_tot_mub_per_cell=0.000 e_form_raw_ev_per_fu=0.846 pbc="T T T"
Cs 2.601 2.981 2.601
Sc 0.000 0.000 2.601
Sc 2.601 0.000 0.000
S 0.000 2.981 0.000
Au 0.000 0.000 0.000



Entry 14:
10
Lattice="5.441 0.000 0.000 0.000 7.961 0.199 0.000 -2.141 6.466" Properties=species:S:1:pos:R:3 comment="CsScAuS2, relaxed, DFT PBE" total_energy_ev_per_atom=-4.868 spacegroup="P2/c (13)" m_tot_mub_per_cell=0.002 e_form_raw_ev_per_fu=-5.622 pbc="T T T"
Cs 1.082 2.375 4.949
Cs 4.359 3.445 1.716
Sc 2.688 -0.535 1.616
Sc 2.753 -1.606 4.849
Au 0.000 0.000 0.000
Au 0.000 -1.071 3.233
S 3.686 4.276 6.173
S 3.686 0.474 3.724
S 1.755 5.346 2.940
S 1.755 1.544 0.491



Entry 15:
11
Lattice="-1.643 -1.133 -7.175 -6.699 -4.048 -2.596 0.047 8.389 -1.955" Properties=species:S:1:pos:R:3 comment="CsAu2Se6S2, relaxed, DFT PBE" total_energy_ev_per_atom=-3.450 spacegroup="P-1 (2)" m_tot_mub_per_cell=0.000 e_form_raw_ev_per_fu=-1.380 pbc="T T T"
Cs -0.798 3.628 -4.565
Au -3.040 4.484 -7.707
Au -5.255 -1.276 -4.019
Se -5.129 4.451 -6.216
Se -3.165 -1.169 -2.030
Se -5.824 1.336 -4.204
Se -5.130 4.377 -9.696
Se -2.471 1.872 -7.522
Se -3.166 -1.243 -5.509
S -4.650 3.415 -4.305
S -3.645 -0.208 -7.421



Entry 16:
20
Lattice="-3.287 7.877 2.691 -4.419 -4.292 7.164 10.218 1.858 7.415" Properties=species:S:1:pos:R:3 comment="Cs6Au2SeS, relaxed, DFT PBE" total_energy_ev_per_atom=-2.642 spacegroup="P2_1/c (14)" m_tot_mub_per_cell=0.000 e_form_raw_ev_per_fu=-7.129 pbc="T T T"
Cs -3.339 -0.445 6.269
Cs -0.406 3.905 12.185
Cs 5.851 5.888 11.002
Cs 2.918 1.538 5.086
Cs 0.206 0.237 9.005
Cs 3.239 4.684 14.759
Cs 2.305 5.206 8.266
Cs -0.728 0.759 2.511
Cs -2.825 4.790 8.191
Cs 2.309 0.209 13.178
Cs 5.336 0.653 9.080
Cs 0.203 5.234 4.093
Au -1.580 -3.255 8.562
Au 3.404 3.087 11.154
Au 4.091 8.698 8.709
Au -0.892 2.356 6.117
Se -1.644 3.938 1.346
Se 2.899 -1.217 7.290
S 3.465 4.867 5.053
S -2.209 -2.146 3.582



Entry 17:
16
Lattice="4.156 0.000 0.000 -2.078 7.179 0.000 0.000 0.000 14.381" Properties=species:S:1:pos:R:3 comment="CsSm2AuS4, relaxed, DFT PBE" total_energy_ev_per_atom=-5.290 spacegroup="Cmcm (63)" m_tot_mub_per_cell=0.000 e_form_raw_ev_per_fu=-12.244 pbc="T T T"
Cs 0.000 1.648 10.785
Cs 2.078 5.531 3.595
Sm 0.000 5.289 8.119
Sm 2.078 1.890 0.929
Sm 2.078 1.890 6.261
Sm 0.000 5.289 13.451
Au 2.078 4.877 10.785
Au 0.000 2.302 3.595
S 0.000 3.680 1.441
S 2.078 3.499 8.631
S 2.078 3.499 12.939
S 0.000 3.680 5.749
S 0.000 0.000 7.190
S 0.000 0.000 0.000
S 0.000 6.245 10.785
S 2.078 0.934 3.595



Entry 18:
18
Lattice="-1.096 14.158 4.262 -5.122 8.725 8.539 6.824 4.025 1.121" Properties=species:S:1:pos:R:3 comment="Cs2SnAu2S4, relaxed, DFT PBE" total_energy_ev_per_atom=-3.915 spacegroup="Fddd (70)" m_tot_mub_per_cell=0.000 e_form_raw_ev_per_fu=-6.462 pbc="T T T"
Cs 4.487 7.404 3.214
Cs 2.488 3.348 1.387
Cs -3.881 19.503 10.708
Cs -2.185 10.106 5.573
Sn 0.152 6.727 3.480
Sn 0.000 0.000 0.000
Au 1.108 12.289 6.239
Au 1.260 19.016 9.720
Au -0.351 21.345 11.162
Au -0.502 14.618 7.682
S 0.793 11.024 8.172
S -0.684 18.570 8.512
S -2.334 14.011 6.374
S -3.732 15.598 9.907
S 4.567 11.194 4.456
S 1.061 8.452 4.968
S 1.441 15.064 8.890
S 1.313 13.716 4.407



Entry 19:
8
Lattice="-1.796 -3.892 5.148 -1.322 -6.740 -1.199 4.871 -3.900 3.110" Properties=species:S:1:pos:R:3 comment="CsSnAu2S4, relaxed, DFT PBE" total_energy_ev_per_atom=-3.889 spacegroup="I222 (23)" m_tot_mub_per_cell=0.000 e_form_raw_ev_per_fu=-3.194 pbc="T T T"
Cs 0.000 0.000 0.000
Sn 0.876 -7.266 3.529
Au 0.974 -4.310 1.440
Au 0.779 -10.223 5.618
S 1.463 -4.898 3.655
S 1.060 -7.965 1.195
S -1.385 -7.520 4.417
S 2.367 -8.682 4.849



Entry 20:
5
Lattice="-6.137 1.620 -0.732 -1.403 -3.392 4.254 0.785 4.829 4.110" Properties=species:S:1:pos:R:3 comment="CsSn2AuS, relaxed, DFT PBE" total_energy_ev_per_atom=-1.730 spacegroup="P4/mmm (123)" m_tot_mub_per_cell=0.000 e_form_raw_ev_per_fu=7.613 pbc="T T T"
Cs 0.000 0.000 0.000
S -3.378 1.529 3.816
Au -0.702 -1.696 2.127
Sn 0.392 2.414 2.055
Sn -3.068 0.810 -0.366